1.
{"formula": "La2ZnO", "functional": "GGA-PBE", "state": "optimized geometry", "lattice_angstrom": [[0.0000, 3.5203, 3.5203], [3.5203, 0.0000, 3.5203], [3.5203, 3.5203, 0.0000]], "species": ["La", "La", "Zn", "O"], "frac_coords": [[0.2500, 0.2500, 0.2500], [0.7500, 0.7500, 0.7500], [0.0000, 0.0000, 0.0000], [0.5000, 0.5000, 0.5000]], "sg": "Fm-3m (225)", "relative_energy_ev_per_atom": 0.7359, "formation_energy_uncorrected_ev_per_fu": -2.62}

***

2.
{"formula": "LaZnO2", "functional": "GGA-PBE", "state": "optimized geometry", "lattice_angstrom": [[-2.5343, 2.5343, 5.6352], [2.5343, -2.5343, 5.6352], [2.5343, 2.5343, -5.6352]], "species": ["La", "La", "Zn", "Zn", "O", "O", "O", "O"], "frac_coords": [[0.0000, 0.0000, 0.0000], [0.7500, 0.2500, 0.5000], [0.2500, 0.7500, 0.5000], [0.5000, 0.5000, 0.0000], [0.1439, 0.6250, 0.0189], [0.3750, 0.3939, 0.5189], [0.6061, 0.1250, 0.9811], [0.8750, 0.8561, 0.4811]], "sg": "I-42d (122)", "formation_energy_uncorrected_ev_per_fu": -7.89}